Compound: Ta2In
Source: the Alexandria database
Functional: PBE-GGA
Structure: optimized geometry

abc: 4.819 4.819 5.693
angles: 90.00 90.00 120.00
Atoms (fractional coordinates):
1 Ta 0.000 0.000 0.000
2 Ta 0.667 0.333 0.250
3 In 0.333 0.667 0.250
4 Ta 0.000 0.000 0.500
5 Ta 0.333 0.667 0.750
6 In 0.667 0.333 0.750

Summary:
SG: P6_3/mmc (194)
DOS at the Fermi energy: 2.02 states/eV/f.u.
calculated formation energy: 0.79 eV per formula unit

---

Compound: Ta2In
Source: the Alexandria database
Functional: PBE-GGA
Structure: optimized geometry

abc: 9.668 9.668 9.668
angles: 157.84 157.84 31.55
Atoms (fractional coordinates):
1 Ta 0.179 0.679 0.500
2 In 0.000 0.000 0.000
3 In 0.750 0.250 0.500
4 Ta 0.571 0.571 0.000
5 Ta 0.429 0.429 0.000
6 Ta 0.321 0.821 0.500

Summary:
SG: I4_1/amd (141)
DOS at the Fermi energy: 1.77 states/eV/f.u.
calculated formation energy: 2.58 eV per formula unit

---

Compound: Ta3In
Source: the Alexandria database
Functional: PBE-GGA
Structure: optimized geometry

abc: 5.828 5.418 9.672
angles: 90.00 90.00 90.00
Atoms (fractional coordinates):
1 In 0.877 0.444 0.750
2 In 0.123 0.556 0.250
3 Ta 0.866 0.030 0.250
4 Ta 0.378 0.751 0.003
5 Ta 0.634 0.530 0.250
6 Ta 0.622 0.249 0.503
7 Ta 0.622 0.249 0.997
8 Ta 0.878 0.749 0.997
9 In 0.623 0.944 0.750
10 In 0.377 0.056 0.250
11 Ta 0.122 0.251 0.497
12 Ta 0.878 0.749 0.503
13 Ta 0.366 0.470 0.750
14 Ta 0.134 0.970 0.750
15 Ta 0.122 0.251 0.003
16 Ta 0.378 0.751 0.497

Summary:
SG: Pnma (62)
DOS at the Fermi energy: 2.60 states/eV/f.u.
calculated formation energy: 0.79 eV per formula unit